VASP calculation (GGA+U) on a geometry-optimized NbFePtO2 structure.

- SG = No. 123
- electronic total energy (eV/cell) = -28.06

Cell: 3.903 3.903 5.474 Å, 90.00 90.00 90.00°
Element x y z (fractional)
Nb (0.000, 0.000, 0.000)
Fe (0.500, 0.500, 0.000)
Pt (0.000, 0.000, 0.500)
O (0.000, 0.500, 0.500)
O (0.500, 0.000, 0.500)